(1)
VASP calculation (GGA-PBEsol) on a geometry-optimized ZnInBiH2 structure.

POSCAR file:
```
ZnInBiH2
1.0
3.922 0.000 0.000
0.000 3.922 0.000
0.000 0.000 6.249
Zn In Bi H
1 1 1 2
direct
0.000 0.000 0.000
0.500 0.500 0.500
0.500 0.500 0.000
0.000 0.500 0.500
0.500 0.000 0.500
```

Values from the calculation:
Its total energy is -2.7794 eV/atom. As for the symmetry: No. 123. Its total magnetic moment is 0.00 μB/f.u. The density of states at the Fermi level is 1.42 states/eV/f.u.

***

(2)
VASP calculation (GGA-PBEsol) on a geometry-optimized RbAl2Cl structure.

POSCAR file:
```
RbAl2Cl
1.0
-2.084 2.084 13.477
2.084 -2.084 13.477
2.084 2.084 -13.477
Rb Al Cl
2 4 2
direct
0.000 0.000 0.000
0.750 0.250 0.500
0.141 0.625 0.016
0.375 0.391 0.516
0.609 0.125 0.984
0.875 0.859 0.484
0.250 0.750 0.500
0.500 0.500 0.000
```

Values from the calculation:
Its total energy is -3.0111 eV/atom. As for the symmetry: No. 122. Its total magnetic moment is 0.00 μB/f.u. The value obtained for the uncorrected formation energy is -0.207 eV per atom. The density of states at the Fermi level is 1.53 states/eV/f.u.

***

(3)
VASP calculation (GGA-PBEsol) on a geometry-optimized CaScMn3 structure.

POSCAR file:
```
CaScMn3
1.0
4.649 0.000 0.000
0.000 4.649 0.000
0.000 0.000 4.649
Ca Sc Mn
1 1 3
direct
0.000 0.000 0.000
0.500 0.500 0.500
0.000 0.000 0.500
0.000 0.500 0.000
0.500 0.000 0.000
```

Values from the calculation:
Its total energy is -5.9713 eV/atom. The value obtained for the formation enthalpy at 0 K is 1.6330 eV/atom. As for the symmetry: No. 221. Its total magnetic moment is 9.88 μB/f.u. The density of states at the Fermi level is 7.05 states/eV/f.u.

***

(4)
VASP calculation (GGA-PBEsol) on a geometry-optimized KTc2SbSe structure.

POSCAR file:
```
KTc2SbSe
1.0
4.647 0.000 0.000
0.000 4.647 0.000
0.000 0.000 5.557
K Tc Sb Se
1 2 1 1
direct
0.000 0.000 0.000
0.000 0.500 0.500
0.500 0.000 0.500
0.500 0.500 0.000
0.500 0.500 0.500
```

Values from the calculation:
Its total energy is -5.3249 eV/atom. As for the symmetry: No. 123. Its total magnetic moment is 2.59 μB/f.u. The value obtained for the uncorrected formation energy is 1.090 eV per atom. The density of states at the Fermi level is 3.62 states/eV/f.u.

***

(5)
VASP calculation (GGA-PBEsol) on a geometry-optimized Hg2SbPb2 structure.

POSCAR file:
```
Hg2SbPb2
1.0
-2.040 2.040 8.482
2.040 -2.040 8.482
2.040 2.040 -8.482
Hg Sb Pb
2 1 2
direct
0.250 0.750 0.500
0.750 0.250 0.500
0.000 0.000 0.000
0.405 0.405 0.000
0.595 0.595 0.000
```

Values from the calculation:
Its total energy is -2.6842 eV/atom. As for the symmetry: No. 139. Its total magnetic moment is 0.00 μB/f.u. The value obtained for the uncorrected formation energy is 0.054 eV per atom. The density of states at the Fermi level is 2.17 states/eV/f.u.

***

(6)
VASP calculation (GGA-PBEsol) on a geometry-optimized TlTc2P structure.

POSCAR file:
```
TlTc2P
1.0
4.376 0.000 0.000
0.000 4.376 0.000
0.000 0.000 3.146
Tl Tc P
1 2 1
direct
0.000 0.000 0.000
0.000 0.500 0.500
0.500 0.000 0.500
0.500 0.500 0.000
```

Values from the calculation:
Its total energy is -7.2440 eV/atom. The value obtained for the formation enthalpy at 0 K is 0.4945 eV/atom. As for the symmetry: No. 123. Its total magnetic moment is 0.01 μB/f.u. The density of states at the Fermi level is 4.49 states/eV/f.u.

***

(7)
VASP calculation (GGA-PBEsol) on a geometry-optimized Na3Ca3AlSb4 structure.

POSCAR file:
```
Na3Ca3AlSb4
1.0
9.986 0.000 0.000
-4.993 8.648 0.000
0.000 0.000 7.493
Na Ca Al Sb
6 6 2 8
direct
0.142 0.284 0.000
0.142 0.858 0.000
0.284 0.142 0.500
0.716 0.858 0.000
0.858 0.142 0.500
0.858 0.716 0.500
0.040 0.520 0.683
0.480 0.520 0.683
0.480 0.960 0.683
0.520 0.040 0.183
0.520 0.480 0.183
0.960 0.480 0.183
0.333 0.667 0.310
0.667 0.333 0.810
0.188 0.375 0.417
0.188 0.812 0.417
0.333 0.667 0.948
0.375 0.188 0.917
0.625 0.812 0.417
0.667 0.333 0.448
0.812 0.188 0.917
0.812 0.625 0.917
```

Values from the calculation:
Its total energy is -3.7068 eV/atom. As for the symmetry: No. 186. Its total magnetic moment is 0.00 μB/f.u. The value obtained for the uncorrected formation energy is -0.714 eV per atom.

***

(8)
VASP calculation (GGA-PBEsol) on a geometry-optimized La2TlCl structure.

POSCAR file:
```
La2TlCl
1.0
3.806 0.000 0.000
0.000 3.804 0.000
-0.022 0.000 8.282
La Tl Cl
2 1 1
direct
0.001 0.000 0.239
0.999 0.000 0.761
0.500 0.500 0.000
0.000 0.500 0.500
```

Values from the calculation:
Its total energy is -4.8028 eV/atom. As for the symmetry: No. 10. Its total magnetic moment is 0.00 μB/f.u. The value obtained for the uncorrected formation energy is -0.970 eV per atom. The density of states at the Fermi level is 3.30 states/eV/f.u.

***

(9)
VASP calculation (GGA-PBEsol) on a geometry-optimized BaInRh2 structure.

POSCAR file:
```
BaInRh2
1.0
2.300 1.328 5.500
-2.300 1.328 5.500
0.000 -2.656 5.500
Ba In Rh
1 1 2
direct
0.000 0.000 0.000
0.500 0.500 0.500
0.181 0.181 0.181
0.819 0.819 0.819
```

Values from the calculation:
Its total energy is -5.6022 eV/atom. The value obtained for the formation enthalpy at 0 K is -0.2500 eV/atom. As for the symmetry: No. 166. Its total magnetic moment is 0.00 μB/f.u. The density of states at the Fermi level is 3.24 states/eV/f.u.

***

(10)
VASP calculation (GGA-PBEsol) on a geometry-optimized Tl4Au3 structure.

POSCAR file:
```
Tl4Au3
1.0
5.508 0.000 0.000
-2.754 4.770 0.000
0.000 0.000 6.119
Tl Au
4 3
direct
0.000 0.000 0.247
0.000 0.000 0.753
0.333 0.667 0.000
0.667 0.333 0.000
0.000 0.500 0.500
0.500 0.000 0.500
0.500 0.500 0.500
```

Values from the calculation:
Its total energy is -3.1703 eV/atom. The value obtained for the formation enthalpy at 0 K is 0.0144 eV/atom. As for the symmetry: No. 191. Its total magnetic moment is 0.00 μB/f.u. The density of states at the Fermi level is 2.59 states/eV/f.u.

***

(11)
VASP calculation (GGA-PBEsol) on a geometry-optimized Mn2IrRu structure.

POSCAR file:
```
Mn2IrRu
1.0
2.606 0.000 0.000
0.000 3.600 0.000
0.000 0.000 5.216
Mn Ir Ru
2 1 1
direct
0.000 0.000 0.246
0.000 0.000 0.754
0.500 0.500 0.500
0.500 0.500 0.000
```

Values from the calculation:
Its total energy is -9.8861 eV/atom. The value obtained for the formation enthalpy at 0 K is -0.0066 eV/atom. As for the symmetry: No. 47. Its total magnetic moment is 1.85 μB/f.u. The density of states at the Fermi level is 4.45 states/eV/f.u.

***

(12)
VASP calculation (GGA-PBEsol) on a geometry-optimized Hg2PtPb structure.

POSCAR file:
```
Hg2PtPb
1.0
2.881 -5.299 0.000
2.881 5.299 0.000
-2.869 0.000 2.928
Hg Pt Pb
2 1 1
direct
0.000 0.500 0.000
0.500 0.000 0.000
0.000 0.000 0.500
0.500 0.500 0.500
```

Values from the calculation:
Its total energy is -2.8999 eV/atom. The value obtained for the formation enthalpy at 0 K is 0.1241 eV/atom. As for the symmetry: No. 12. Its total magnetic moment is 0.00 μB/f.u. The density of states at the Fermi level is 1.67 states/eV/f.u.